NdV2IO9: relaxed, GGA+U.

Its total DFT energy (no corrections) is -0.5051 Ry per atom. The calculation puts the total magnetization at 0.0 Bohr magnetons per cell. The calculation puts the theoretical density at 4.51 g cm⁻³.

The space group is Pbcm (No. 57) and the conventional cell measures 7.095, 14.667 and 7.323 Å, with angles of 90.00, 90.00 and 90.00 degrees. The inequivalent atoms are Nd at (0.149, 0.047, 0.250), V at (0.182, 0.729, 0.750), V at (0.462, 0.250, 0.000), I at (0.297, 0.055, 0.750), O at (0.012, 0.692, 0.250), O at (0.082, 0.625, 0.750), O at (0.172, 0.510, 0.071), O at (0.262, 0.750, 0.000), O at (0.327, 0.157, 0.043), O at (0.471, 0.722, 0.750) and O at (0.474, 0.501, 0.750).